P.
The following is a DFT calculation (PBE) of a relaxed structure of Ca2Ni2P.

extended XYZ file:
```
10
Lattice="6.4289 0.0000 0.0000 0.0000 6.4289 0.0000 0.0000 0.0000 4.3166" Properties=species:S:1:pos:R:3 pbc="T T T"
Ca 1.1601 2.0544 0.0000
Ca 2.0544 5.2689 0.0000
Ca 4.3745 1.1601 0.0000
Ca 5.2689 4.3745 0.0000
Ni 0.8711 4.0855 2.1583
Ni 2.3434 0.8711 2.1583
Ni 4.0855 5.5579 2.1583
Ni 5.5579 2.3434 2.1583
P 0.0000 0.0000 2.1583
P 3.2145 3.2145 2.1583
```

Output
V = 178.4 Å³ per cell
Total moment = 0.00 μB/f.u.
Space group = No. 127

=====

Q.
The following is a DFT calculation (PBE) of a relaxed structure of Ca2Ni2P.

extended XYZ file:
```
10
Lattice="4.4850 -2.7478 0.0000 4.4850 2.7478 0.0000 -1.3426 0.0000 7.4307" Properties=species:S:1:pos:R:3 pbc="T T T"
Ca 1.1970 0.6175 1.1797
Ca 0.5257 -0.6175 4.8951
Ca 7.1017 0.6175 2.5356
Ca 6.4303 -0.6175 6.2510
Ni 2.7775 0.6893 3.6902
Ni 5.5212 0.6893 0.0252
Ni 2.1062 -0.6893 7.4055
Ni 4.8499 -0.6893 3.7405
P 4.1494 0.4703 1.8577
P 3.4780 -0.4703 5.5730
```

Output
V = 183.1 Å³ per cell
Total moment = 0.00 μB/f.u.
Space group = No. 15

=====

Need the numbers? Relative energies in meV/atom: P 246; Q 0.

=====

P.
The following is a DFT calculation (PBE) of a relaxed structure of CaNiP4.

extended XYZ file:
```
6
Lattice="0.0000 3.6527 3.6527 3.6527 0.0000 3.6527 3.6527 3.6527 0.0000" Properties=species:S:1:pos:R:3 pbc="T T T"
Ca 0.0000 0.0000 0.0000
Ni 5.4790 5.4790 5.4790
P 2.7974 2.7974 2.7974
P 4.5079 4.5079 2.7974
P 4.5079 2.7974 4.5079
P 2.7974 4.5079 4.5079
```

Output
V = 97.5 Å³ per cell
Total moment = 0.00 μB/f.u.
Space group = No. 216

=====

Q.
The following is a DFT calculation (PBE) of a relaxed structure of CaNiP4.

extended XYZ file:
```
12
Lattice="3.1331 -4.3277 0.0000 3.1331 4.3277 0.0000 0.0000 0.0000 8.3369" Properties=species:S:1:pos:R:3 pbc="T T T"
Ca 3.1331 2.7413 0.0000
Ca 3.1331 -2.7413 0.0000
Ni 3.1331 0.0000 0.0000
Ni 3.1331 0.0000 4.1685
P 0.0000 0.0000 2.3955
P 0.0000 0.0000 5.9414
P 1.5665 2.1638 2.4738
P 1.5665 2.1638 5.8631
P 3.1331 2.1360 4.1685
P 1.5665 -2.1638 2.4738
P 1.5665 -2.1638 5.8631
P 3.1331 -2.1360 4.1685
```

Output
V = 226.1 Å³ per cell
Total moment = 0.27 μB/f.u.
Space group = No. 65

=====

Need the numbers? Relative energies in meV/atom: P 0; Q 227.

=====

P.
The following is a DFT calculation (PBE) of a relaxed structure of Ca2NiP2.

extended XYZ file:
```
10
Lattice="5.3578 -1.9191 0.0000 5.3578 1.9191 0.0000 -3.3863 0.0000 9.6589" Properties=species:S:1:pos:R:3 pbc="T T T"
Ca -0.4022 0.0000 3.8830
Ca 0.3364 0.0000 8.3006
Ca 6.9929 0.0000 1.3583
Ca 7.7315 0.0000 5.7759
Ni 3.9735 0.0000 1.7259
Ni 3.3558 0.0000 7.9330
P -2.6601 0.0000 8.7884
P 2.5257 0.0000 3.4032
P 4.8036 0.0000 6.2557
P 9.9894 0.0000 0.8705
```

Output
V = 198.6 Å³ per cell
Total moment = 0.00 μB/f.u.
Space group = No. 12

=====

Q.
The following is a DFT calculation (PBE) of a relaxed structure of Ca2NiP2.

extended XYZ file:
```
10
Lattice="6.5046 0.0000 0.0000 0.0000 6.5046 0.0000 0.0000 0.0000 4.3359" Properties=species:S:1:pos:R:3 pbc="T T T"
Ca 1.1520 2.1002 0.0000
Ca 2.1002 5.3525 0.0000
Ca 4.4043 1.1520 0.0000
Ca 5.3525 4.4043 0.0000
Ni 0.0000 0.0000 2.1680
Ni 3.2523 3.2523 2.1680
P 0.8255 4.0778 2.1680
P 2.4268 0.8255 2.1680
P 4.0778 5.6791 2.1680
P 5.6791 2.4268 2.1680
```

Output
V = 183.4 Å³ per cell
Total moment = 0.00 μB/f.u.
Space group = No. 127

=====

Need the numbers? Relative energies in meV/atom: P 0; Q 244.

=====

P.
The following is a DFT calculation (PBE) of a relaxed structure of Ca3Ni2P3.

extended XYZ file:
```
16
Lattice="2.0111 -5.3356 0.0000 2.0111 5.3356 0.0000 0.0000 0.0000 13.7059" Properties=species:S:1:pos:R:3 pbc="T T T"
Ca 2.0111 4.5152 8.3080
Ca 2.0111 4.5152 12.2507
Ca 2.0111 1.5284 10.2794
Ca 2.0111 -1.5284 3.4265
Ca 2.0111 -4.5152 1.4551
Ca 2.0111 -4.5152 5.3978
Ni 2.0111 2.9706 1.2856
Ni 2.0111 2.9706 5.5673
Ni 2.0111 -2.9706 8.1386
Ni 2.0111 -2.9706 12.4202
P 2.0111 1.7650 3.4265
P 2.0111 1.5580 7.4558
P 2.0111 1.5580 13.1030
P 2.0111 -1.5580 0.6029
P 2.0111 -1.5580 6.2500
P 2.0111 -1.7650 10.2794
```

Output
V = 294.1 Å³ per cell
Total moment = 0.00 μB/f.u.
Space group = No. 63

=====

Q.
The following is a DFT calculation (PBE) of a relaxed structure of Ca3Ni2P3.

extended XYZ file:
```
16
Lattice="1.9719 -5.2338 0.0000 1.9719 5.2338 0.0000 0.0000 0.0000 14.5668" Properties=species:S:1:pos:R:3 pbc="T T T"
Ca 1.9719 4.7073 10.9251
Ca 1.9719 1.5839 8.6585
Ca 1.9719 1.5839 13.1917
Ca 1.9719 -1.5839 1.3751
Ca 1.9719 -1.5839 5.9083
Ca 1.9719 -4.7073 3.6417
Ni 1.9719 1.3999 1.7248
Ni 1.9719 1.3999 5.5586
Ni 1.9719 -1.3999 9.0082
Ni 1.9719 -1.3999 12.8420
P 1.9719 4.4518 8.1139
P 1.9719 4.4518 13.7363
P 1.9719 2.6923 3.6417
P 1.9719 -2.6923 10.9251
P 1.9719 -4.4518 0.8305
P 1.9719 -4.4518 6.4529
```

Output
V = 300.7 Å³ per cell
Total moment = 0.00 μB/f.u.
Space group = No. 63

=====

Need the numbers? Relative energies in meV/atom: P 36; Q 0.

=====

P.
The following is a DFT calculation (PBE) of a relaxed structure of CaNi6P4.

extended XYZ file:
```
11
Lattice="6.6345 0.0000 0.0000 -3.3172 5.7456 0.0000 0.0000 0.0000 3.5852" Properties=species:S:1:pos:R:3 pbc="T T T"
Ca 0.0000 0.0000 0.0000
Ni 0.0000 2.3341 1.7926
Ni -1.2958 4.5786 1.7926
Ni 3.3172 0.4254 0.0000
Ni 2.0271 2.6601 0.0000
Ni 1.2958 4.5786 1.7926
Ni 4.6074 2.6601 0.0000
P 0.0000 3.8304 0.0000
P 1.8751 1.0826 1.7926
P 4.7594 1.0826 1.7926
P 3.3172 3.5804 1.7926
```

Output
V = 136.7 Å³ per cell
Total moment = 0.00 μB/f.u.
Space group = No. 187

=====

Q.
The following is a DFT calculation (PBE) of a relaxed structure of CaNi6P4.

extended XYZ file:
```
11
Lattice="-3.0869 3.0869 3.9396 3.0869 -3.0869 3.9396 3.0869 3.0869 -3.9396" Properties=species:S:1:pos:R:3 pbc="T T T"
Ca 0.0000 0.0000 0.0000
Ni 3.0869 0.0000 0.0000
Ni 2.1767 2.1767 -0.9917
Ni 0.9102 -0.9102 4.9313
Ni 0.0000 3.0869 0.0000
Ni 0.9102 0.9102 2.9478
Ni -0.9102 0.9102 4.9313
P 1.3021 -1.3021 2.7672
P 1.7848 1.7848 1.1723
P -1.3021 1.3021 2.7672
P 1.3021 1.3021 5.1119
```

Output
V = 150.2 Å³ per cell
Total moment = 0.00 μB/f.u.
Space group = No. 121

=====

Need the numbers? Relative energies in meV/atom: P 0; Q 68.

=====

P.
The following is a DFT calculation (PBE) of a relaxed structure of CaNi3P2.

extended XYZ file:
```
18
Lattice="7.5470 -1.8480 0.0000 7.5470 1.8480 0.0000 -2.6843 0.0000 8.8342" Properties=species:S:1:pos:R:3 pbc="T T T"
Ca 0.0000 0.0000 0.0000
Ca 0.4418 0.0000 6.1771
Ca 11.9680 0.0000 2.6571
Ni -0.1774 0.0000 2.9652
Ni 2.2626 0.0000 3.4764
Ni 4.7554 0.0000 0.2640
Ni 3.4721 0.0000 6.9945
Ni 6.2049 0.0000 4.4171
Ni 8.9377 0.0000 1.8397
Ni 7.6544 0.0000 8.5702
Ni 10.1471 0.0000 5.3577
Ni 12.5871 0.0000 5.8690
P 2.6698 0.0000 1.1835
P 3.9802 0.0000 4.8401
P 6.4617 0.0000 1.9759
P 5.9480 0.0000 6.8582
P 8.4296 0.0000 3.9940
P 9.7399 0.0000 7.6507
```

Output
V = 246.4 Å³ per cell
Total moment = 0.00 μB/f.u.
Space group = No. 12

=====

Q.
The following is a DFT calculation (PBE) of a relaxed structure of CaNi3P2.

extended XYZ file:
```
12
Lattice="7.1379 -1.8616 0.0000 7.1379 1.8616 0.0000 -2.8182 0.0000 6.3236" Properties=species:S:1:pos:R:3 pbc="T T T"
Ca 2.0389 0.0000 0.4190
Ca 9.4187 0.0000 5.9046
Ni -0.4090 0.0000 2.2927
Ni 2.9361 0.0000 3.5802
Ni 4.8954 0.0000 2.0697
Ni 6.5622 0.0000 4.2539
Ni 8.5215 0.0000 2.7434
Ni 11.8666 0.0000 4.0310
P 0.7680 0.0000 4.1992
P 4.5420 0.0000 5.2045
P 6.9156 0.0000 1.1192
P 10.6897 0.0000 2.1244
```

Output
V = 168.1 Å³ per cell
Total moment = 0.00 μB/f.u.
Space group = No. 12

=====

Need the numbers? Relative energies in meV/atom: P 0; Q 27.